Record 1
LaAg3, optimized geometry, DFT PBE-GGA; crystal system = tetragonal; formation energy from the elements = -0.098 eV/atom; space-group type = No. 139
1.0
-2.494 2.494 7.536
2.494 -2.494 7.536
2.494 2.494 -7.536
La Ag
2 6
direct
0.367 0.367 0.000 La
0.633 0.633 0.000 La
0.500 0.000 0.500 Ag
0.122 0.122 0.000 Ag
0.878 0.878 0.000 Ag
0.750 0.250 0.500 Ag
0.250 0.750 0.500 Ag
0.000 0.500 0.500 Ag



Record 2
LaAg, optimized geometry, DFT PBE-GGA; crystal system = tetragonal; formation energy from the elements = 0.079 eV/atom; space-group type = No. 87
1.0
-8.404 -1.139 -7.640
5.540 -8.756 -4.789
-1.707 -2.294 2.220
La Ag
8 8
direct
0.375 0.314 0.000 La
0.625 0.686 0.000 La
0.686 0.375 0.000 La
0.314 0.625 0.000 La
0.875 0.814 0.500 La
0.125 0.186 0.500 La
0.186 0.875 0.500 La
0.814 0.125 0.500 La
0.417 0.886 0.000 Ag
0.583 0.114 0.000 Ag
0.114 0.417 0.000 Ag
0.886 0.583 0.000 Ag
0.917 0.386 0.500 Ag
0.083 0.614 0.500 Ag
0.614 0.917 0.500 Ag
0.386 0.083 0.500 Ag



Record 3
LaAg5, optimized geometry, DFT PBE-GGA; crystal system = trigonal; formation energy from the elements = -0.063 eV/atom; space-group type = No. 164
1.0
5.703 0.000 0.000
-2.852 4.939 0.000
0.000 0.000 9.114
Ag La
10 2
direct
0.000 0.000 0.500 Ag
0.000 0.000 0.000 Ag
0.829 0.171 0.260 Ag
0.829 0.659 0.260 Ag
0.341 0.171 0.260 Ag
0.171 0.829 0.740 Ag
0.171 0.341 0.740 Ag
0.659 0.829 0.740 Ag
0.333 0.667 0.457 Ag
0.667 0.333 0.543 Ag
0.667 0.333 0.906 La
0.333 0.667 0.094 La



Record 4
LaAg, optimized geometry, DFT PBE-GGA; crystal system = trigonal; formation energy from the elements = 0.092 eV/atom; space-group type = No. 164
1.0
-1.702 -1.021 -3.062
1.471 -2.516 2.195
-8.683 -0.673 5.050
Ag La
2 2
direct
0.000 0.000 0.029 Ag
0.333 0.667 0.221 Ag
0.000 0.000 0.466 La
0.333 0.667 0.784 La



Record 5
La3Ag5, optimized geometry, DFT PBE-GGA; crystal system = orthorhombic; formation energy from the elements = -0.172 eV/atom; space-group type = No. 65
1.0
3.672 -5.328 0.000
3.672 5.328 0.000
0.000 0.000 5.350
La Ag
3 5
direct
0.500 0.500 0.000 La
0.788 0.212 0.500 La
0.212 0.788 0.500 La
0.000 0.000 0.000 Ag
0.500 0.000 0.000 Ag
0.000 0.500 0.000 Ag
0.707 0.707 0.500 Ag
0.293 0.293 0.500 Ag



Record 6
Li3LaAg, optimized geometry, DFT PBE-GGA; crystal system = cubic; formation energy from the elements = 0.115 eV/atom; space-group type = No. 221
1.0
4.939 0.000 0.000
0.000 4.939 0.000
0.000 0.000 4.939
Li Ag La
3 1 1
direct
0.000 0.500 0.000 Li
0.000 0.000 0.500 Li
0.500 0.000 0.000 Li
0.000 0.000 0.000 Ag
0.500 0.500 0.500 La



Record 7
Li3LaAg, optimized geometry, DFT PBE-GGA; crystal system = hexagonal; formation energy from the elements = 0.069 eV/atom; space-group type = No. 194
1.0
-5.169 1.897 1.923
-0.951 -5.866 3.231
3.060 5.142 3.153
Li La Ag
6 2 2
direct
0.750 0.625 0.813 Li
0.250 0.812 0.625 Li
0.250 0.375 0.187 Li
0.750 0.188 0.375 Li
0.250 0.812 0.187 Li
0.750 0.188 0.813 Li
0.750 0.667 0.334 La
0.250 0.333 0.666 La
0.000 0.000 0.000 Ag
0.500 0.000 0.000 Ag



Record 8
Li2LaAg, optimized geometry, DFT PBE-GGA; crystal system = cubic; formation energy from the elements = 0.054 eV/atom; space-group type = No. 225
1.0
-1.965 -4.099 -2.083
0.320 -4.399 2.354
-4.095 -2.086 1.968
Li Ag La
2 1 1
direct
0.250 0.250 0.250 Li
0.750 0.750 0.750 Li
0.000 0.000 0.000 Ag
0.500 0.500 0.500 La



Record 9
Li4LaAg8, optimized geometry, DFT PBE-GGA; crystal system = tetragonal; formation energy from the elements = -0.184 eV/atom; space-group type = No. 139
1.0
5.296 0.000 0.000
2.648 6.697 0.000
2.648 0.000 6.697
Li La Ag
4 1 8
direct
0.000 0.000 0.500 Li
0.500 0.000 0.500 Li
0.000 0.500 0.000 Li
0.500 0.500 0.000 Li
0.000 0.000 0.000 La
0.000 0.350 0.650 Ag
0.000 0.650 0.350 Ag
0.350 0.650 0.650 Ag
0.650 0.350 0.350 Ag
0.500 0.780 0.220 Ag
0.500 0.220 0.780 Ag
0.280 0.220 0.220 Ag
0.720 0.780 0.780 Ag



Record 10
Li2LaAg, optimized geometry, DFT PBE-GGA; crystal system = monoclinic; formation energy from the elements = 0.071 eV/atom; space-group type = No. 12
1.0
-3.062 4.744 2.986
-2.423 -2.788 -5.210
-2.669 -1.404 1.083
Ag La Li
1 1 2
direct
0.500 0.000 0.500 Ag
0.000 0.500 0.500 La
0.000 0.000 0.000 Li
0.500 0.500 0.000 Li



Record 11
Li2LaAg, optimized geometry, DFT PBE-GGA; crystal system = trigonal; formation energy from the elements = 0.072 eV/atom; space-group type = No. 166
1.0
10.228 -0.050 -0.029
9.725 3.167 -0.029
9.725 1.519 2.779
Ag La Li
1 1 2
direct
0.250 0.250 0.250 Ag
0.750 0.750 0.750 La
0.984 0.984 0.984 Li
0.516 0.516 0.516 Li



Record 12
LiLaAg3, optimized geometry, DFT PBE-GGA; crystal system = monoclinic; formation energy from the elements = -0.149 eV/atom; space-group type = No. 8
1.0
-2.862 -1.248 3.314
2.860 -3.326 1.231
2.430 1.029 5.640
Li La Ag
1 1 3
direct
0.030 0.833 0.644 Li
0.396 0.199 0.914 La
0.642 0.946 0.421 Ag
0.143 0.445 0.421 Ag
0.798 0.601 0.112 Ag



- formation energy from the elements of number 7 (Li3LaAg)?
  0.069 eV/atom



Repeat the tenth record exactly.
Li2LaAg, optimized geometry, DFT PBE-GGA; crystal system = monoclinic; formation energy from the elements = 0.071 eV/atom; space-group type = No. 12
1.0
-3.062 4.744 2.986
-2.423 -2.788 -5.210
-2.669 -1.404 1.083
Ag La Li
1 1 2
direct
0.500 0.000 0.500 Ag
0.000 0.500 0.500 La
0.000 0.000 0.000 Li
0.500 0.500 0.000 Li